VASP calculation (PBE with a Hubbard U) on Ca2TeMoO6 after structural relaxation.

DFT total energy = -6.2749 eV per atom
space-group type = P4mm
size of the total moment = 2.00 μB per cell
density = 4.22 g/cm³

```
10
Lattice="5.702 0.000 0.000 0.000 5.702 0.000 0.000 0.000 4.835" Properties=species:S:1:pos:R:3 pbc="T T T"
Ca 0.000 2.851 0.000
Ca 2.851 0.000 0.000
Te 0.000 0.000 3.208
Mo 2.851 2.851 2.921
O 0.000 0.000 0.309
O 1.468 1.468 3.524
O 1.468 4.234 3.524
O 2.851 2.851 1.021
O 4.234 1.468 3.524
O 4.234 4.234 3.524
```